Entry from the Alexandria database: Ca2H2Pd after structural relaxation (PBE-GGA).

Computed properties:
* DOS at the Fermi energy: 0.30 states/eV per cell
* spin magnetization: 0.00 μB per formula unit
* mass density: 3.76 g cm⁻³
* calculated total energy: -3.733 eV/atom

Lattice parameters (Å, degrees): 3.658 3.658 6.735 74.24 74.24 90.00
Element x y z (fractional)
1 H 0.750 0.250 0.500
2 H 0.250 0.750 0.500
3 Ca 0.356 0.356 0.287
4 Ca 0.644 0.644 0.713
5 Pd 0.000 0.000 0.000